RbTmTeS | PBE-GGA | relaxed

Output
DFT total energy	-4.744	eV per atom

```
RbTmTeS
1.0
2.114 1.220 8.140
-2.114 1.220 8.140
0.000 -2.441 8.140
Rb S Te Tm
1 1 1 1
Cartesian
0.000 0.000 24.259
0.000 0.000 5.622
0.000 0.000 18.746
0.000 0.000 12.424
```

***

Rb2ThS3 | PBE-GGA | relaxed

Output
DFT total energy	-5.117	eV per atom

```
Rb2ThS3
1.0
6.143 2.372 6.915
-7.815 -4.247 -3.473
3.161 -4.893 -1.129
Rb S Th
2 3 1
Cartesian
2.631 -2.489 2.561
-1.143 -4.279 -0.248
0.508 -0.300 2.722
-2.181 -1.575 0.721
1.580 -2.447 -0.565
0.000 0.000 0.000
```

***

Rb2Th2S5 | PBE-GGA | relaxed

Output
DFT total energy	-5.899	eV per atom

```
Rb2Th2S5
1.0
7.270 -2.739 0.000
7.270 2.739 0.000
-4.630 0.000 7.107
Rb S Th
2 5 2
Cartesian
5.238 0.000 0.226
4.671 0.000 6.882
0.000 0.000 0.000
11.604 0.000 1.988
7.654 0.000 2.897
2.256 0.000 4.211
-1.695 0.000 5.119
-0.299 0.000 2.799
10.208 0.000 4.308
```

***

RbThTlS3 | PBE-GGA | relaxed

Output
DFT total energy	-5.213	eV per atom

```
RbThTlS3
1.0
-5.749 4.125 4.884
2.041 -5.303 -6.453
-0.243 -9.143 7.436
Rb S Th Tl
2 6 2 2
Cartesian
-4.465 0.212 4.786
0.514 -10.533 1.081
-4.912 3.085 3.685
-1.951 -2.830 1.128
-5.032 -1.436 7.361
1.080 -8.885 -1.494
-2.000 -7.490 4.740
0.960 -13.406 2.183
-1.854 -0.589 -0.785
-1.976 -5.160 2.934
0.975 -6.371 -3.130
-4.926 -3.950 8.998
```

***

RbTlWS3 | PBE-GGA | relaxed

Output
DFT total energy	-5.180	eV per atom

```
RbTlWS3
1.0
1.743 -9.962 0.000
1.743 9.962 0.000
0.000 0.000 9.586
Rb S Tl W
2 6 2 2
Cartesian
1.743 -6.009 2.397
1.743 6.009 7.190
1.743 -8.293 0.363
1.743 -0.536 2.397
1.743 -8.293 4.431
1.743 8.293 5.156
1.743 0.536 7.190
1.743 8.293 9.224
1.743 7.270 2.397
1.743 -7.270 7.190
1.743 0.000 0.000
1.743 0.000 4.793
```

***

Rb2TmS2 | PBE-GGA | relaxed

Output
DFT total energy	-4.183	eV per atom

```
Rb2TmS2
1.0
-3.893 6.454 3.665
3.893 -6.454 3.665
3.893 6.454 -3.665
Rb S Tm
4 4 2
Cartesian
2.998 -2.042 3.665
0.895 4.412 3.665
2.998 2.042 0.000
0.895 8.497 0.000
-2.405 5.292 3.665
1.487 1.162 3.665
2.405 5.292 0.000
6.298 1.162 0.000
0.000 0.000 1.832
0.000 0.000 5.497
```

***

RbTmZnS3 | PBE-GGA | relaxed

Output
DFT total energy	-4.497	eV per atom

```
RbTmZnS3
1.0
-0.350 8.452 -2.679
-3.272 6.691 -4.823
-5.160 0.209 6.858
Rb S Tm Zn
2 6 2 2
Cartesian
-0.890 2.264 -0.646
-7.891 13.088 0.002
-1.811 7.572 -3.751
-2.412 5.227 -1.007
-4.330 10.284 -2.547
-2.580 0.104 3.429
-4.452 5.068 1.903
-6.370 10.125 0.363
-5.250 12.713 -3.288
-3.531 2.639 2.644
-3.096 7.302 -1.780
-5.686 8.049 1.136
```

***

RbTmZnS3 | PBE-GGA | relaxed

Output
DFT total energy	-4.672	eV per atom

```
RbTmZnS3
1.0
8.926 0.000 0.000
0.000 3.971 0.000
-3.293 0.000 9.067
Rb S Tm Zn
2 6 2 2
Cartesian
1.107 0.993 2.160
4.526 2.978 6.908
7.366 2.978 1.295
3.678 2.978 1.381
5.672 0.993 4.143
-0.039 2.978 4.925
1.955 0.993 7.687
-1.732 0.993 7.773
5.496 0.993 1.257
0.138 2.978 7.811
6.884 2.978 3.537
-1.251 0.993 5.530
```

***

Rb2TmZrS4 | PBE-GGA | relaxed

Output
DFT total energy	-5.571	eV per atom

```
Rb2TmZrS4
1.0
-0.832 -2.063 -3.202
3.713 0.545 1.057
-0.506 -12.853 8.410
Rb S Tm Zr
2 4 1 1
Cartesian
0.557 -4.375 0.299
1.817 -9.994 5.965
2.150 -1.535 0.430
1.994 -5.494 3.020
0.380 -8.876 3.244
0.224 -12.835 5.835
-0.253 -6.426 4.205
0.000 0.000 0.000
```

***

Rb4US5 | PBE-GGA | relaxed

Output
DFT total energy	-4.820	eV per atom

```
Rb4US5
1.0
5.674 2.340 5.073
-7.559 2.340 -0.891
-1.187 -7.420 2.635
Rb S U
4 5 1
Cartesian
1.267 1.375 4.238
-3.105 0.345 3.421
0.007 -3.019 3.455
-4.365 -4.049 2.637
-0.795 1.975 1.765
-5.876 1.553 0.802
-1.722 -1.536 0.998
-1.370 -1.154 5.863
2.784 -4.243 6.058
-0.073 0.181 0.162
```

***

RbU2S4 | PBE-GGA | relaxed

Output
DFT total energy	-7.103	eV per atom

```
RbU2S4
1.0
2.012 -6.667 0.000
2.012 6.667 0.000
0.000 0.000 13.802
Rb S U
2 8 4
Cartesian
2.012 -5.229 3.450
2.012 5.229 10.351
0.000 0.000 0.000
2.012 3.179 1.430
2.012 -1.109 3.450
2.012 3.179 5.471
0.000 0.000 6.901
2.012 -3.179 8.331
2.012 1.109 10.351
2.012 -3.179 12.372
2.012 -1.775 0.888
2.012 -1.775 6.013
2.012 1.775 7.789
2.012 1.775 12.914
```

***

Rb2WS4 | PBE-GGA | relaxed

Output
polymorph energy (0 for the lowest one)	0	meV per atom
DFT total energy	-5.488	eV per atom

```
Rb2WS4
1.0
9.822 0.000 0.000
0.000 7.126 0.000
0.000 0.000 12.653
Rb S W
8 16 4
Cartesian
8.262 5.345 1.378
4.521 1.782 2.113
9.432 1.782 4.214
3.351 5.345 4.948
6.470 1.782 7.705
0.389 5.345 8.439
5.300 5.345 10.540
1.559 1.782 11.275
7.724 1.782 1.256
4.662 5.345 1.348
1.548 0.003 1.814
1.548 3.560 1.814
6.459 0.003 4.512
6.459 3.560 4.512
9.572 5.345 4.978
2.813 1.782 5.071
7.009 5.345 7.582
0.249 1.782 7.675
3.363 3.566 8.141
3.363 7.123 8.141
8.274 3.566 10.839
8.274 7.123 10.839
5.160 1.782 11.305
2.098 5.345 11.397
2.485 5.345 0.919
7.396 5.345 5.408
2.426 1.782 7.245
7.337 1.782 11.734
```

***

Rb2WS4 | PBE-GGA | relaxed

Output
polymorph energy (0 for the lowest one)	23	meV per atom
DFT total energy	-5.465	eV per atom

```
Rb2WS4
1.0
-7.301 -2.855 2.887
-1.658 -6.817 4.536
3.242 6.858 5.382
Rb S W
4 8 2
Cartesian
-6.703 -6.392 7.578
-3.945 -3.381 5.374
-1.773 0.568 7.431
0.985 3.579 5.227
-6.937 -4.799 4.611
-4.124 -6.774 5.433
-1.823 -0.791 4.337
0.357 1.568 2.546
-6.074 -4.381 10.259
-3.894 -2.022 8.468
-1.593 3.961 7.373
1.219 1.986 8.195
-0.885 -0.264 2.393
-4.833 -2.549 10.413
```

***

RbW3S5 | PBE-GGA | relaxed

Output
DFT total energy	-7.029	eV per atom

```
RbW3S5
1.0
5.644 0.000 0.000
-2.822 4.888 0.000
0.000 0.000 7.318
Rb S W
1 5 3
Cartesian
0.000 0.000 0.000
2.822 1.629 1.826
0.000 3.259 1.826
0.000 0.000 3.659
2.822 1.629 5.493
0.000 3.259 5.493
2.822 0.000 3.659
-1.411 2.444 3.659
1.411 2.444 3.659
```

***

RbYZnS3 | PBE-GGA | relaxed

Output
DFT total energy	-5.004	eV per atom

```
RbYZnS3
1.0
-1.018 -1.445 -8.786
-3.552 -1.725 0.695
-3.747 8.637 2.288
Rb S Y Zn
2 6 2 2
Cartesian
-4.440 -0.181 -5.786
-3.878 5.648 -0.016
-3.017 -1.213 -1.082
-2.729 1.792 -3.715
-2.337 2.466 -0.041
-5.980 3.001 -5.762
-5.588 3.675 -2.087
-5.300 6.680 -4.721
-4.352 1.341 -1.562
-3.966 4.126 -4.240
-1.384 0.394 -0.312
-6.934 5.073 -5.490
```

***

RbYZnS3 | PBE-GGA | relaxed

Output
DFT total energy	-4.829	eV per atom

```
RbYZnS3
1.0
-2.888 5.435 6.538
-4.798 1.913 7.344
7.222 -3.130 3.441
Rb S Y Zn
2 6 2 2
Cartesian
-0.653 0.876 2.278
0.188 3.342 15.046
-3.843 3.674 6.941
-1.005 1.812 5.532
-2.562 3.818 10.606
3.611 -1.565 1.720
2.097 0.400 6.717
0.540 2.406 11.791
-3.278 4.769 13.065
2.813 -0.551 4.258
-1.779 2.689 7.530
1.314 1.529 9.793
```

***

RbZrZnS3 | PBE-GGA | relaxed

Output
DFT total energy	-5.090	eV per atom

```
RbZrZnS3
1.0
-6.847 -1.856 -5.399
2.358 -1.755 -2.388
1.443 -6.846 6.456
Rb S Zn Zr
2 6 2 2
Cartesian
-1.041 -2.770 -0.494
-2.005 -7.686 -0.837
-4.179 -2.072 -4.107
2.037 -3.674 0.207
-2.051 -4.996 -2.860
-0.994 -5.461 1.529
-5.083 -6.782 -1.538
1.133 -8.385 2.776
-2.092 -3.166 -4.245
-0.954 -7.291 2.914
-4.702 -4.583 -2.778
1.656 -5.873 1.447
```

***

RbZrS2 | PBE-GGA | relaxed

Output
DFT total energy	-5.734	eV per atom

```
RbZrS2
1.0
3.551 3.918 -4.571
-4.004 4.337 3.743
4.341 -2.586 4.074
Rb S Zr
2 4 2
Cartesian
1.916 3.422 -0.560
1.970 2.247 3.806
-0.243 1.278 1.363
0.321 5.776 1.649
3.566 -0.106 1.597
4.130 4.392 1.883
-2.781 3.683 4.610
6.668 1.987 -1.364
```

***

Rb2ZrS3 | PBE-GGA | relaxed

Output
DFT total energy	-5.016	eV per atom

```
Rb2ZrS3
1.0
16.237 0.000 0.000
0.000 3.935 0.000
0.000 0.000 12.491
Rb S Zr
8 12 4
Cartesian
3.733 2.951 0.108
9.189 2.951 1.015
1.071 2.951 5.231
11.851 2.951 6.138
4.386 0.984 6.353
15.167 0.984 7.260
7.048 0.984 11.476
12.504 0.984 12.383
14.899 2.951 0.710
7.052 0.984 2.269
1.709 2.951 2.341
9.828 2.951 3.904
15.171 0.984 3.977
6.780 2.951 5.535
9.457 0.984 6.955
1.066 2.951 8.514
6.409 0.984 8.586
14.528 0.984 10.150
9.185 2.951 10.222
1.338 0.984 11.780
0.071 0.984 1.826
8.190 0.984 4.420
8.047 2.951 8.071
16.166 2.951 10.665
```